BaNiO2F: optimized geometry, PBE with a Hubbard U.

Magnetic moment   0.99 μB/f.u.
E_tot   -5.229 eV per atom

abc: 3.9766 3.9766 4.2764
angles: 90.00 90.00 90.00
With the nearest neighbours (Å) after each atom.
Sites, in units of the cell vectors:
O: 0.5000 0.0000 0.0000  2 Ni 1.99
O: 0.0000 0.5000 0.0000  2 Ni 1.99
Ni: 0.0000 0.0000 0.0000  4 O 1.99, 2 F 2.14
Ba: 0.5000 0.5000 0.5000  4 F 2.81, 8 O 2.92
F: 0.0000 0.0000 0.5000  2 Ni 2.14